! GGA-PBE PrNiB, optimized geometry; values from VASP
! space-group type = C2/m, No. 12
! calculated formation energy = -0.42 eV/f.u.
! DOS at the Fermi energy = 12.50 states/eV per cell
! energy above the most stable polymorph in this dataset = 92 meV/atom
! total DFT energy (no corrections) = -5.89 eV/atom
&SYSTEM
  ibrav = 0, nat = 12, ntyp = 3
/
ATOMIC_SPECIES
Pr 140.91 Pr.upf
Ni 58.69 Ni.upf
B 10.81 B.upf
CELL_PARAMETERS angstrom
8.789 0.000 0.000
0.000 3.764 0.000
-0.873 0.000 6.350
ATOMIC_POSITIONS angstrom
Pr 0.782 0.000 1.867
Pr 2.739 1.882 4.483
Pr 5.177 1.882 1.867
Pr 7.134 0.000 4.483
Ni 0.929 0.000 5.615
Ni 2.593 1.882 0.735
Ni 5.324 1.882 5.615
Ni 6.987 0.000 0.735
B -0.066 1.882 6.032
B 3.588 0.000 0.318
B 4.329 0.000 6.032
B 7.982 1.882 0.318

! GGA-PBE BeB2, optimized geometry; values from VASP
! space-group type = P6_3mc, No. 186
! calculated formation energy = -0.15 eV/f.u.
! DOS at the Fermi energy = 0.57 states/eV per cell
! energy above the most stable polymorph in this dataset = 57 meV/atom
! total DFT energy (no corrections) = -5.74 eV/atom
&SYSTEM
  ibrav = 0, nat = 6, ntyp = 2
/
ATOMIC_SPECIES
Be 9.01 Be.upf
B 10.81 B.upf
CELL_PARAMETERS angstrom
2.963 0.000 0.000
-1.482 2.566 0.000
0.000 0.000 6.022
ATOMIC_POSITIONS angstrom
Be 0.000 1.711 0.000
Be 1.482 0.855 3.011
B 0.000 0.000 1.941
B 0.000 0.000 4.952
B 0.000 1.711 1.982
B 1.482 0.855 4.994

! GGA-PBE PmZrZnPd, optimized geometry; values from VASP
! space-group type = F-43m, No. 216
! calculated formation energy = -1.39 eV/f.u.
! DOS at the Fermi energy = 18.07 states/eV per cell
! total DFT energy (no corrections) = -5.29 eV/atom
&SYSTEM
  ibrav = 0, nat = 16, ntyp = 4
/
ATOMIC_SPECIES
Pm 145.00 Pm.upf
Zr 91.22 Zr.upf
Zn 65.41 Zn.upf
Pd 106.42 Pd.upf
CELL_PARAMETERS angstrom
6.989 0.000 0.000
0.000 6.989 0.000
0.000 0.000 6.989
ATOMIC_POSITIONS angstrom
Pm 0.000 0.000 0.000
Pm 0.000 3.494 3.494
Pm 3.494 0.000 3.494
Pm 3.494 3.494 0.000
Zr 0.000 0.000 3.494
Zr 0.000 3.494 0.000
Zr 3.494 0.000 0.000
Zr 3.494 3.494 3.494
Zn 1.747 1.747 1.747
Zn 1.747 5.242 5.242
Zn 5.242 1.747 5.242
Zn 5.242 5.242 1.747
Pd 1.747 1.747 5.242
Pd 1.747 5.242 1.747
Pd 5.242 1.747 1.747
Pd 5.242 5.242 5.242

! GGA-PBE BeAl2W, optimized geometry; values from VASP
! space-group type = Pmmm, No. 47
! calculated formation energy = 0.79 eV/f.u.
! DOS at the Fermi energy = 1.85 states/eV per cell
! total DFT energy (no corrections) = -5.84 eV/atom
&SYSTEM
  ibrav = 0, nat = 4, ntyp = 3
/
ATOMIC_SPECIES
Be 9.01 Be.upf
Al 26.98 Al.upf
W 183.84 W.upf
CELL_PARAMETERS angstrom
2.817 0.000 0.000
0.000 4.463 0.000
0.000 0.000 4.478
ATOMIC_POSITIONS angstrom
Be 0.000 0.000 0.000
Al 0.000 2.232 2.239
Al 1.409 0.000 2.239
W 1.409 2.232 0.000

! GGA-PBE BiHSeBr2, optimized geometry; values from VASP
! space-group type = P4/mmm, No. 123
! DOS at the Fermi energy = 5.44 states/eV per cell
! energy above the most stable polymorph in this dataset = 0 meV/atom
! total DFT energy (no corrections) = -2.49 eV/atom
&SYSTEM
  ibrav = 0, nat = 5, ntyp = 4
/
ATOMIC_SPECIES
Bi 208.98 Bi.upf
H 1.01 H.upf
Se 78.96 Se.upf
Br 79.90 Br.upf
CELL_PARAMETERS angstrom
5.774 0.000 0.000
0.000 5.774 0.000
0.000 0.000 5.607
ATOMIC_POSITIONS angstrom
Bi 0.000 0.000 0.000
H 2.887 2.887 2.803
Se 0.000 0.000 2.803
Br 0.000 2.887 0.000
Br 2.887 0.000 0.000

! GGA-PBE Lu2MgRe, optimized geometry; values from VASP
! space-group type = Fm-3m, No. 225
! calculated formation energy = 0.14 eV/f.u.
! DOS at the Fermi energy = 12.43 states/eV per cell
! energy above the most stable polymorph in this dataset = 56 meV/atom
! total DFT energy (no corrections) = -5.74 eV/atom
&SYSTEM
  ibrav = 0, nat = 16, ntyp = 3
/
ATOMIC_SPECIES
Lu 174.97 Lu.upf
Mg 24.30 Mg.upf
Re 186.21 Re.upf
CELL_PARAMETERS angstrom
6.963 0.000 0.000
0.000 6.963 0.000
0.000 0.000 6.963
ATOMIC_POSITIONS angstrom
Lu 1.741 1.741 1.741
Lu 1.741 1.741 5.223
Lu 1.741 5.223 1.741
Lu 1.741 5.223 5.223
Lu 5.223 1.741 1.741
Lu 5.223 1.741 5.223
Lu 5.223 5.223 1.741
Lu 5.223 5.223 5.223
Mg 0.000 0.000 0.000
Mg 0.000 3.482 3.482
Mg 3.482 0.000 3.482
Mg 3.482 3.482 0.000
Re 0.000 0.000 3.482
Re 0.000 3.482 0.000
Re 3.482 0.000 0.000
Re 3.482 3.482 3.482

! GGA-PBE BaLa2Mo, optimized geometry; values from VASP
! space-group type = P4mm, No. 99
! calculated formation energy = 2.16 eV/f.u.
! DOS at the Fermi energy = 5.29 states/eV per cell
! energy above the most stable polymorph in this dataset = 187 meV/atom
! total DFT energy (no corrections) = -5.11 eV/atom
&SYSTEM
  ibrav = 0, nat = 4, ntyp = 3
/
ATOMIC_SPECIES
Ba 137.33 Ba.upf
La 138.91 La.upf
Mo 95.94 Mo.upf
CELL_PARAMETERS angstrom
4.002 0.000 0.000
0.000 4.002 0.000
0.000 0.000 8.595
ATOMIC_POSITIONS angstrom
Ba 0.000 0.000 0.000
La 0.000 0.000 5.161
La 2.001 2.001 3.237
Mo 2.001 2.001 6.278

! GGA-PBE CuW2, optimized geometry; values from VASP
! space-group type = P6_3/mmc, No. 194
! calculated formation energy = 1.11 eV/f.u.
! DOS at the Fermi energy = 4.64 states/eV per cell
! energy above the most stable polymorph in this dataset = 59 meV/atom
! total DFT energy (no corrections) = -9.63 eV/atom
&SYSTEM
  ibrav = 0, nat = 6, ntyp = 2
/
ATOMIC_SPECIES
Cu 63.55 Cu.upf
W 183.84 W.upf
CELL_PARAMETERS angstrom
4.387 0.000 0.000
-2.193 3.799 0.000
0.000 0.000 5.315
ATOMIC_POSITIONS angstrom
Cu 0.000 2.533 1.329
Cu 2.193 1.266 3.986
W 0.000 0.000 0.000
W 0.000 0.000 2.657
W 0.000 2.533 3.986
W 2.193 1.266 1.329